No. 1
First-principles (PBE) data for a relaxed structure of Sm2AgSn4Pd3, as listed in Alexandria.

* size of the total moment: 0.000 μB per cell

Cell lengths 4.515, 4.515, 11.152 Å; angles 90.00, 90.00, 90.00 degrees
Fractional coordinates of all 10 atoms:
Sn (0.500, 0.500, 0.000)
Sn (0.000, 0.000, 0.000)
Sn (0.500, 0.000, 0.637)
Sn (0.000, 0.500, 0.363)
Pd (0.500, 0.000, 0.869)
Pd (0.000, 0.000, 0.500)
Pd (0.000, 0.500, 0.131)
Sm (0.500, 0.000, 0.257)
Sm (0.000, 0.500, 0.743)
Ag (0.500, 0.500, 0.500)

=====

No. 2
First-principles (PBE) data for a relaxed structure of SmAgSnPd, as listed in Alexandria.

* size of the total moment: 0.000 μB per cell

Cell lengths 4.933, 4.933, 4.933 Å; angles 60.00, 60.00, 60.00 degrees
Fractional coordinates of all 4 atoms:
Sn (0.250, 0.250, 0.250)
Pd (0.000, 0.000, 0.000)
Sm (0.750, 0.750, 0.750)
Ag (0.500, 0.500, 0.500)

=====

Number 1: ΔE_f -0.65 eV per atom. Number 2: ΔE_f -0.61 eV per atom.